## TbPm5Ga6 (PBE)

Data for a relaxed TbPm5Ga6 crystal.

Properties
formation enthalpy at 0 K = -0.571 eV per atom

Cell: 5.1642 7.3094 8.1693 Å, 90.00 108.35 90.00°
Space group P2/m (No. 10)
One atom of each set of equivalent atoms:
Tb  0.0000  0.0000  0.0000 [1 per cell]
Pm  0.0000  0.5000  0.0000 [1 per cell]
Pm  0.3317  0.5000  0.6634 [2 per cell]
Pm  0.3339  0.0000  0.6678 [2 per cell]
Ga  0.1646  0.2468  0.3295 [4 per cell]
Ga  0.5000  0.2475  0.0000 [2 per cell]